Below is an optimized crystal structure of NiNF3, with properties calculated at the GGA+U level.

**Energy**: -2.47 eV per atom
**Crystal system**: cubic
**Energy above the most stable polymorph in this dataset**: 1.470 eV/atom
**Space-group type**: Pm-3m (221)

```
NiNF3
1.0
3.766 0.000 0.000
0.000 3.766 0.000
0.000 0.000 3.766
Ni N F
1 1 3
Cartesian
1.883 1.883 1.883 Ni
0.000 0.000 0.000 N
0.000 1.883 0.000 F
0.000 0.000 1.883 F
1.883 0.000 0.000 F
```